## Ca2LaTb (PBE)

Data for Ca2LaTb after structural relaxation.

Values from the calculation:
VASP energy: -3.243 eV per atom

abc: 5.133 5.133 5.682
angles: 90.00 90.00 90.00
Sites, in units of the cell vectors:
Ca 0.000 0.500 0.000
Ca 0.500 0.000 0.000
La 0.000 0.000 0.500
Tb 0.500 0.500 0.500